1.
Crystalline VIn2Co2 at its relaxed geometry. Source: Alexandria, functional GGA-PBE.

Geometry as POSCAR:
```
VIn2Co2
1.0
6.1405 0.0000 0.0000
0.0000 6.1405 0.0000
0.0000 0.0000 4.1197
In Co V
4 4 2
direct
0.1751 0.6751 0.5000
0.6751 0.8249 0.5000
0.8249 0.3249 0.5000
0.3249 0.1751 0.5000
0.3657 0.8657 0.0000
0.8657 0.6343 0.0000
0.6343 0.1343 0.0000
0.1343 0.3657 0.0000
0.0000 0.0000 0.0000
0.5000 0.5000 0.0000
```

Values from the calculation:
spin magnetization: 0.000 μB per formula unit
space group: P4/mbm (127)
energy relative to the lowest polymorph listed for this composition: 0 meV/atom
Fermi-level density of states: 7.59 states/eV per cell

***

2.
Crystalline VInCo2 at its relaxed geometry. Source: Alexandria, functional GGA-PBE.

Geometry as POSCAR:
```
VInCo2
1.0
6.6261 0.0000 0.0000
0.0000 6.6261 0.0000
3.3131 3.3131 2.7211
In Co V
2 4 2
direct
0.0000 0.0000 0.0000
0.7500 0.2500 0.5000
0.5700 0.1250 0.2500
0.1800 0.6250 0.2500
0.3750 0.4300 0.7500
0.8750 0.8200 0.7500
0.5000 0.5000 0.0000
0.2500 0.7500 0.5000
```

Values from the calculation:
spin magnetization: 0.000 μB per formula unit
space group: I-42d (122)
uncorrected energy: -24.5 eV/f.u.
Fermi-level density of states: 5.71 states/eV per cell

***

3.
Crystalline VInCo2 at its relaxed geometry. Source: Alexandria, functional GGA-PBE.

Geometry as POSCAR:
```
VInCo2
1.0
-0.1495 1.5988 2.4638
1.5966 -2.0264 1.4119
5.2807 3.0188 -1.6387
V Co In
1 2 1
direct
0.5000 0.5000 0.0000
0.0000 0.0000 0.7959
0.0000 0.0000 0.2041
0.5000 0.5000 0.5000
```

Values from the calculation:
spin magnetization: 0.134 μB per formula unit
space group: P4/mmm (123)
uncorrected energy: -26.2 eV/f.u.
Fermi-level density of states: 5.08 states/eV per cell

***

4.
Crystalline VIn3Co at its relaxed geometry. Source: Alexandria, functional GGA-PBE.

Geometry as POSCAR:
```
VIn3Co
1.0
5.1163 0.0000 0.0000
0.0000 5.1163 0.0000
0.0000 0.0000 5.1163
In Co V
3 1 1
direct
0.0000 0.5000 0.0000
0.0000 0.0000 0.5000
0.5000 0.0000 0.0000
0.5000 0.5000 0.5000
0.0000 0.0000 0.0000
```

Values from the calculation:
spin magnetization: 2.426 μB per formula unit
space group: Pm-3m (221)
energy relative to the lowest polymorph listed for this composition: 583 meV/atom
Fermi-level density of states: 4.22 states/eV per cell

***

5.
Crystalline VInCo2 at its relaxed geometry. Source: Alexandria, functional GGA-PBE.

Geometry as POSCAR:
```
VInCo2
1.0
-1.7111 1.5468 1.8780
-2.9553 0.4511 -3.0641
-1.8783 -3.6286 1.2773
V Co In
1 2 1
direct
0.5000 0.0000 0.0000
0.0000 0.0000 0.5000
0.0000 0.5000 0.0000
0.5000 0.5000 0.5000
```

Values from the calculation:
spin magnetization: 2.103 μB per formula unit
space group: P4/mmm (123)
uncorrected energy: -25.6 eV/f.u.
Fermi-level density of states: 3.74 states/eV per cell

***

6.
Crystalline VIn2Co2 at its relaxed geometry. Source: Alexandria, functional GGA-PBE.

Geometry as POSCAR:
```
VIn2Co2
1.0
-5.6412 4.6815 -1.0583
-4.7965 -5.5578 0.9818
-0.0685 0.5655 2.8666
In Co V
4 4 2
direct
0.3592 0.8592 0.0000
0.8592 0.6408 0.0000
0.6408 0.1408 0.0000
0.1408 0.3592 0.0000
0.1598 0.6598 0.5000
0.6598 0.8402 0.5000
0.8402 0.3402 0.5000
0.3402 0.1598 0.5000
0.0000 0.0000 0.0000
0.5000 0.5000 0.0000
```

Values from the calculation:
spin magnetization: 3.083 μB per formula unit
space group: P4/mbm (127)
energy relative to the lowest polymorph listed for this composition: 268 meV/atom
Fermi-level density of states: 10.32 states/eV per cell

***

7.
Crystalline V2ZnInCo at its relaxed geometry. Source: Alexandria, functional GGA-PBE.

Geometry as POSCAR:
```
V2ZnInCo
1.0
4.8359 0.0000 0.0000
0.0000 4.5679 0.0000
0.0000 0.0000 4.8359
Zn V Co In
1 2 1 1
direct
0.5000 0.5000 0.5000
0.0000 0.0000 0.5000
0.5000 0.0000 0.0000
0.0000 0.5000 0.0000
0.0000 0.0000 0.0000
```

Values from the calculation:
spin magnetization: 0.000 μB per formula unit
space group: P4/mmm (123)
uncorrected energy: -20.2 eV/f.u.
Fermi-level density of states: 16.94 states/eV per cell

***

8.
Crystalline In2CoW at its relaxed geometry. Source: Alexandria, functional GGA-PBE.

Geometry as POSCAR:
```
In2CoW
1.0
9.3636 -0.0023 -0.0013
8.8814 2.9662 -0.0013
8.8814 1.4428 2.5917
Co In W
1 2 1
direct
0.7559 0.7559 0.7559
0.0108 0.0108 0.0108
0.2446 0.2446 0.2446
0.4887 0.4887 0.4887
```

Values from the calculation:
spin magnetization: 0.594 μB per formula unit
space group: R3m (160)
energy relative to the lowest polymorph listed for this composition: 122 meV/atom
Fermi-level density of states: 2.35 states/eV per cell

***

9.
Crystalline In2CoW at its relaxed geometry. Source: Alexandria, functional GGA-PBE.

Geometry as POSCAR:
```
In2CoW
1.0
7.3284 0.0000 0.0000
0.0000 7.3284 0.0000
3.6642 3.6642 2.7497
Co W In
2 2 4
direct
0.5000 0.5000 0.0000
0.2500 0.7500 0.5000
0.0000 0.0000 0.0000
0.7500 0.2500 0.5000
0.5906 0.1250 0.2500
0.1594 0.6250 0.2500
0.3750 0.4094 0.7500
0.8750 0.8406 0.7500
```

Values from the calculation:
spin magnetization: 1.128 μB per formula unit
space group: I-42d (122)
energy relative to the lowest polymorph listed for this composition: 647 meV/atom
Fermi-level density of states: 8.85 states/eV per cell

***

10.
Crystalline In3CoW at its relaxed geometry. Source: Alexandria, functional GGA-PBE.

Geometry as POSCAR:
```
In3CoW
1.0
5.2674 0.0000 0.0000
0.0000 5.2674 0.0000
0.0000 0.0000 5.2674
Co W In
1 1 3
direct
0.5000 0.5000 0.5000
0.0000 0.0000 0.0000
0.0000 0.5000 0.0000
0.0000 0.0000 0.5000
0.5000 0.0000 0.0000
```

Values from the calculation:
spin magnetization: 2.825 μB per formula unit
space group: Pm-3m (221)
energy relative to the lowest polymorph listed for this composition: 300 meV/atom
Fermi-level density of states: 7.03 states/eV per cell

***

11.
Crystalline In2CoW at its relaxed geometry. Source: Alexandria, functional GGA-PBE.

Geometry as POSCAR:
```
In2CoW
1.0
5.1991 0.0262 0.0000
2.1107 4.7515 0.0000
-3.6549 -2.3888 2.8225
Co In W
1 2 1
direct
0.7500 0.2500 0.5000
0.0000 0.0000 0.0000
0.2500 0.7500 0.5000
0.5000 0.5000 0.0000
```

Values from the calculation:
spin magnetization: 1.626 μB per formula unit
space group: I-4m2 (119)
energy relative to the lowest polymorph listed for this composition: 347 meV/atom
Fermi-level density of states: 4.15 states/eV per cell

***

12.
Crystalline InCo3W at its relaxed geometry. Source: Alexandria, functional GGA-PBE.

Geometry as POSCAR:
```
InCo3W
1.0
4.4800 0.0000 0.0000
0.0000 4.4800 0.0000
0.0000 0.0000 4.4800
Co W In
3 1 1
direct
0.0000 0.5000 0.0000
0.0000 0.0000 0.5000
0.5000 0.0000 0.0000
0.5000 0.5000 0.5000
0.0000 0.0000 0.0000
```

Values from the calculation:
spin magnetization: 4.939 μB per formula unit
space group: Pm-3m (221)
energy relative to the lowest polymorph listed for this composition: 787 meV/atom
Fermi-level density of states: 4.75 states/eV per cell